The following is a DFT calculation (PBE) of an optimized crystal structure of TmNiSn.

Cell: 5.972 5.972 5.972 Å, 147.95 147.95 45.95°
Positions (direct):
Tm  0.000  0.000  0.000
Ni  0.342  0.342  0.000
Sn  0.711  0.711  0.000

Results
The energy of formation is -0.38 eV per atom. The calculated volume is 19.92 A^3/atom.